[1]
Below is a PBEsol-optimized structure of TaAl2Br, with properties calculated at the SCAN level.

a = 2.972 Å, b = 4.697 Å, c = 5.349 Å
α = 96.67°, β = 106.13°, γ = 90.00°
Element x y z (fractional)
Al: 0.733 0.735 0.466
Al: 0.267 0.265 0.534
Ta: 0.000 0.500 0.000
Br: 0.500 0.000 0.000

## Properties
Magnetization, μB per atom: 0.0090
E above lowest polymorph, meV/atom: 474.8
E_form (uncorrected), eV/atom: 0.40
SG: C2/m (12)
Density of states at the Fermi level, states/eV/cell: 2.260
DFT total energy, eV/atom: -24.992

---

[2]
Below is a PBEsol-optimized structure of TaAlBr2, with properties calculated at the SCAN level.

a = 3.158 Å, b = 4.598 Å, c = 7.379 Å
α = 108.16°, β = 102.36°, γ = 90.00°
Element x y z (fractional)
Br: 0.156 0.156 0.313
Br: 0.844 0.844 0.687
Al: 0.000 0.500 0.000
Ta: 0.500 0.000 0.000

## Properties
Magnetization, μB per atom: 0.0005
E above lowest polymorph, meV/atom: 0.0
E_form (uncorrected), eV/atom: -0.05
SG: Immm (71)
Density of states at the Fermi level, states/eV/cell: 2.389
DFT total energy, eV/atom: -28.364

---

[3]
Below is a PBEsol-optimized structure of Ta2AlBr, with properties calculated at the SCAN level.

a = 2.981 Å, b = 2.981 Å, c = 8.554 Å
α = 90.00°, β = 90.00°, γ = 90.00°
Element x y z (fractional)
Ta: 0.500 0.500 0.250
Ta: 0.000 0.000 0.995
Br: 0.500 0.500 0.792
Al: 0.000 0.000 0.463

## Properties
Magnetization, μB per atom: 0.0000
E_form (uncorrected), eV/atom: 0.20
SG: P4mm (99)
Density of states at the Fermi level, states/eV/cell: 2.475
DFT total energy, eV/atom: -39.890

---

[4]
Below is a PBEsol-optimized structure of TaAl2Br, with properties calculated at the SCAN level.

a = 2.959 Å, b = 5.063 Å, c = 5.772 Å
α = 116.01°, β = 104.85°, γ = 90.00°
Element x y z (fractional)
Al: 0.259 0.759 0.517
Al: 0.016 0.016 0.032
Ta: 0.755 0.255 0.510
Br: 0.470 0.470 0.941

## Properties
Magnetization, μB per atom: 0.0002
E above lowest polymorph, meV/atom: 367.7
E_form (uncorrected), eV/atom: 0.29
SG: Imm2 (44)
Density of states at the Fermi level, states/eV/cell: 1.405
DFT total energy, eV/atom: -25.099